(1)
DFT (PBE) results for a relaxed structure of Hg5Pb6.

Output
The value obtained for the energy of formation from the pure elements is 0.022 eV/atom. Its space-group type is P-1. The total energy is -2.14 eV per atom.

Cell: 5.5237 6.4075 9.7279 Å, 93.14 90.00 113.81°
Closest atoms and distances in Å follow each position.
Sites, in units of the cell vectors:
1 Hg 0.0000 0.0000 0.0000  2 Hg 3.21, 6 Pb 3.28-3.33
2 Hg 0.2630 0.5248 0.9219  3 Hg 3.16-3.21, 5 Pb 3.24-3.46
3 Hg 0.3722 0.7422 0.5441  1 Hg 3.19, 7 Pb 3.22-3.37
4 Hg 0.6278 0.2578 0.4559  1 Hg 3.19, 7 Pb 3.22-3.37
5 Hg 0.7370 0.4752 0.0781  3 Hg 3.16-3.21, 5 Pb 3.24-3.46
6 Pb 0.1010 0.2106 0.6363  4 Hg 3.24-3.31, 4 Pb 3.44-3.53
7 Pb 0.1830 0.3642 0.2760  7 Hg 3.32-3.62, 4 Pb 3.53-3.72
8 Pb 0.4698 0.9356 0.1758  5 Hg 3.22-3.36, 4 Pb 3.44-3.55
9 Pb 0.5302 0.0644 0.8242  5 Hg 3.22-3.36, 4 Pb 3.44-3.55
10 Pb 0.8170 0.6358 0.7240  7 Hg 3.32-3.62, 4 Pb 3.53-3.72
11 Pb 0.8990 0.7894 0.3637  4 Hg 3.24-3.31, 4 Pb 3.44-3.53



(2)
DFT (PBE) results for a relaxed structure of HgPb7.

Output
The value obtained for the energy of formation from the pure elements is 0.016 eV/atom. Its space-group type is Fm-3m. The total energy is -3.27 eV per atom.

Cell: 7.0355 7.0355 7.0355 Å, 60.00 60.00 60.00°
Closest atoms and distances in Å follow each position.
Sites, in units of the cell vectors:
1 Hg 0.0000 0.0000 0.0000  12 Pb 3.52
2 Pb 0.0000 0.0000 0.5000  2 Hg 3.52, 10 Pb 3.52
3 Pb 0.0000 0.5000 0.0000  2 Hg 3.52, 10 Pb 3.52
4 Pb 0.0000 0.5000 0.5000  2 Hg 3.52, 10 Pb 3.52
5 Pb 0.5000 0.0000 0.0000  2 Hg 3.52, 10 Pb 3.52
6 Pb 0.5000 0.0000 0.5000  2 Hg 3.52, 10 Pb 3.52
7 Pb 0.5000 0.5000 0.0000  2 Hg 3.52, 10 Pb 3.52
8 Pb 0.5000 0.5000 0.5000  12 Pb 3.52



(3)
DFT (PBE) results for a relaxed structure of Hg11Pb.

Output
The value obtained for the energy of formation from the pure elements is 0.043 eV/atom. Its space-group type is P6/mmm. The total energy is -0.54 eV per atom.

Cell: 10.7698 10.7698 3.2748 Å, 90.00 90.00 120.00°
Closest atoms and distances in Å follow each position.
Sites, in units of the cell vectors:
1 Hg 0.0000 0.5000 0.0000  12 Hg 3.11-3.48
2 Hg 0.1706 0.3413 0.5000  10 Hg 3.18-3.48
3 Hg 0.1706 0.8294 0.5000  10 Hg 3.18-3.48
4 Hg 0.3333 0.6667 0.0000  11 Hg 3.11-3.45
5 Hg 0.3413 0.1706 0.5000  10 Hg 3.18-3.48
6 Hg 0.5000 0.0000 0.0000  12 Hg 3.11-3.48
7 Hg 0.5000 0.5000 0.0000  12 Hg 3.11-3.48
8 Hg 0.6587 0.8294 0.5000  10 Hg 3.18-3.48
9 Hg 0.6667 0.3333 0.0000  11 Hg 3.11-3.45
10 Hg 0.8294 0.1706 0.5000  10 Hg 3.18-3.48
11 Hg 0.8294 0.6587 0.5000  10 Hg 3.18-3.48
12 Pb 0.0000 0.0000 0.0000  2 Pb 3.27, 12 Hg 3.58



(4)
DFT (PBE) results for a relaxed structure of HgPb.

Output
The value obtained for the energy of formation from the pure elements is 0.031 eV/atom. Its space-group type is Cm. The total energy is -1.97 eV per atom.

Cell: 6.2327 6.2327 8.1233 Å, 107.65 107.65 34.79°
Closest atoms and distances in Å follow each position.
Sites, in units of the cell vectors:
1 Hg 0.0000 0.0000 0.0000  7 Pb 3.30-3.49, 2 Hg 3.31
2 Hg 0.0498 0.0498 0.5380  2 Hg 3.22, 7 Pb 3.30-3.40
3 Hg 0.6708 0.6708 0.3183  4 Hg 3.22-3.31, 5 Pb 3.31-3.43
4 Pb 0.3511 0.3511 0.6539  7 Hg 3.37-3.43, 5 Pb 3.56-3.73
5 Pb 0.3735 0.3735 0.2273  7 Hg 3.30-3.37, 3 Pb 3.50-3.56
6 Pb 0.6910 0.6910 0.8802  6 Hg 3.31-3.64, 4 Pb 3.50-3.56



(5)
DFT (PBE) results for a relaxed structure of HgPd4Pb3.

Output
The value obtained for the energy of formation from the pure elements is -0.060 eV/atom. Its space-group type is Pmn2_1. The total energy is -4.09 eV per atom.

Cell: 8.0426 6.8096 7.2018 Å, 90.00 90.00 90.00°
Closest atoms and distances in Å follow each position.
Sites, in units of the cell vectors:
1 Hg 0.0000 0.1448 0.0000  4 Pd 2.69-2.84
2 Hg 0.5000 0.8552 0.5000  4 Pd 2.69-2.84
3 Pd 0.0000 0.1508 0.3733  1 Hg 2.69, 3 Pb 2.72-2.74, 3 Pd 2.74-2.77
4 Pd 0.0000 0.9106 0.6782  3 Pb 2.74-2.81, 3 Pd 2.74-2.83, 1 Hg 2.81
5 Pd 0.1803 0.2680 0.6822  3 Pb 2.73-2.81, 3 Pd 2.77-2.90, 1 Hg 2.84
6 Pd 0.3197 0.7320 0.1822  3 Pb 2.73-2.81, 3 Pd 2.77-2.90, 1 Hg 2.84
7 Pd 0.5000 0.0894 0.1782  3 Pb 2.74-2.81, 3 Pd 2.74-2.83, 1 Hg 2.81
8 Pd 0.5000 0.8492 0.8733  1 Hg 2.69, 3 Pb 2.72-2.74, 3 Pd 2.74-2.77
9 Pd 0.6803 0.7320 0.1822  3 Pb 2.73-2.81, 3 Pd 2.77-2.90, 1 Hg 2.84
10 Pd 0.8197 0.2680 0.6822  3 Pb 2.73-2.81, 3 Pd 2.77-2.90, 1 Hg 2.84
11 Pb 0.0000 0.7524 0.3181  4 Pd 2.74-2.81
12 Pb 0.2165 0.6395 0.8204  4 Pd 2.72-2.81
13 Pb 0.2835 0.3605 0.3204  4 Pd 2.72-2.81
14 Pb 0.5000 0.2476 0.8181  4 Pd 2.74-2.81
15 Pb 0.7165 0.3605 0.3204  4 Pd 2.72-2.81
16 Pb 0.7835 0.6395 0.8204  4 Pd 2.72-2.81



(6)
DFT (PBE) results for a relaxed structure of Hg3Pd7Pb.

Output
The value obtained for the energy of formation from the pure elements is -0.005 eV/atom. Its space-group type is C2/m. The total energy is -3.73 eV per atom.

Cell: 6.6583 6.6583 5.3396 Å, 106.90 106.90 92.26°
Closest atoms and distances in Å follow each position.
Sites, in units of the cell vectors:
1 Hg 0.0000 0.0000 0.0000  6 Pd 2.71-2.78
2 Hg 0.2150 0.7850 0.5000  7 Pd 2.74-2.82
3 Hg 0.7850 0.2150 0.5000  7 Pd 2.74-2.82
4 Pd 0.0729 0.5809 0.8232  3 Hg 2.78-2.82, 4 Pd 2.80-2.97, 1 Pb 2.85
5 Pd 0.2124 0.2124 0.5368  3 Hg 2.71-2.80, 5 Pd 2.74-2.97, 1 Pb 2.77
6 Pd 0.4191 0.9271 0.1768  3 Hg 2.78-2.82, 4 Pd 2.80-2.97, 1 Pb 2.85
7 Pd 0.5000 0.5000 0.5000  2 Pb 2.67, 2 Hg 2.74, 2 Pd 2.74
8 Pd 0.5809 0.0729 0.8232  3 Hg 2.78-2.82, 4 Pd 2.80-2.97, 1 Pb 2.85
9 Pd 0.7876 0.7876 0.4632  3 Hg 2.71-2.80, 5 Pd 2.74-2.97, 1 Pb 2.77
10 Pd 0.9271 0.4191 0.1768  3 Hg 2.78-2.82, 4 Pd 2.80-2.97, 1 Pb 2.85
11 Pb 0.5000 0.5000 0.0000  8 Pd 2.67-2.85



(7)
DFT (PBE) results for a relaxed structure of Hg2Pd8Pb.

Output
The value obtained for the energy of formation from the pure elements is -0.174 eV/atom. Its space-group type is C2/m. The total energy is -4.34 eV per atom.

Cell: 7.5956 7.5956 6.3537 Å, 104.17 104.17 31.88°
Closest atoms and distances in Å follow each position.
Sites, in units of the cell vectors:
1 Hg 0.2229 0.2229 0.1473  10 Pd 2.80-2.97, 2 Hg 3.04
2 Hg 0.7771 0.7771 0.8527  10 Pd 2.80-2.97, 2 Hg 3.04
3 Pd 0.0411 0.0411 0.2233  9 Pd 2.78-2.94, 1 Hg 2.82, 2 Pb 2.89
4 Pd 0.1394 0.1394 0.6836  7 Pd 2.84-2.92, 3 Hg 2.89-2.91, 2 Pb 2.94
5 Pd 0.3205 0.3205 0.5888  3 Hg 2.80-2.85, 1 Pb 2.82, 8 Pd 2.85-2.95
6 Pd 0.4096 0.4096 0.0429  8 Pd 2.83-2.92, 1 Pb 2.87, 3 Hg 2.89-2.97
7 Pd 0.5904 0.5904 0.9571  8 Pd 2.83-2.92, 1 Pb 2.87, 3 Hg 2.89-2.97
8 Pd 0.6795 0.6795 0.4112  3 Hg 2.80-2.85, 1 Pb 2.82, 8 Pd 2.85-2.95
9 Pd 0.8606 0.8606 0.3164  7 Pd 2.84-2.92, 3 Hg 2.89-2.91, 2 Pb 2.94
10 Pd 0.9589 0.9589 0.7767  9 Pd 2.78-2.94, 1 Hg 2.82, 2 Pb 2.89
11 Pb 0.5000 0.5000 0.5000  12 Pd 2.82-2.94



(8)
DFT (PBE) results for a relaxed structure of Hg4Pd15Pb.

Output
The value obtained for the energy of formation from the pure elements is -0.135 eV/atom. Its space-group type is P4/mmm. The total energy is -4.28 eV per atom.

Cell: 4.0979 4.0979 20.0051 Å, 90.00 90.00 90.00°
Closest atoms and distances in Å follow each position.
Sites, in units of the cell vectors:
1 Hg 0.0000 0.0000 0.0994  12 Pd 2.85-2.90
2 Hg 0.0000 0.0000 0.2978  12 Pd 2.86-2.90
3 Hg 0.0000 0.0000 0.7022  12 Pd 2.86-2.90
4 Hg 0.0000 0.0000 0.9006  12 Pd 2.85-2.90
5 Pd 0.0000 0.5000 0.0000  8 Pd 2.85-2.90, 4 Hg 2.86
6 Pd 0.0000 0.5000 0.1984  4 Hg 2.85-2.86, 8 Pd 2.86-2.90
7 Pd 0.0000 0.5000 0.3985  8 Pd 2.86-2.90, 2 Hg 2.87, 2 Pb 2.89
8 Pd 0.0000 0.5000 0.6015  8 Pd 2.86-2.90, 2 Hg 2.87, 2 Pb 2.89
9 Pd 0.0000 0.5000 0.8016  4 Hg 2.85-2.86, 8 Pd 2.86-2.90
10 Pd 0.5000 0.0000 0.0000  8 Pd 2.85-2.90, 4 Hg 2.86
11 Pd 0.5000 0.0000 0.1984  4 Hg 2.85-2.86, 8 Pd 2.86-2.90
12 Pd 0.5000 0.0000 0.3985  8 Pd 2.86-2.90, 2 Hg 2.87, 2 Pb 2.89
13 Pd 0.5000 0.0000 0.6015  8 Pd 2.86-2.90, 2 Hg 2.87, 2 Pb 2.89
14 Pd 0.5000 0.0000 0.8016  4 Hg 2.85-2.86, 8 Pd 2.86-2.90
15 Pd 0.5000 0.5000 0.0988  8 Pd 2.85-2.86, 4 Hg 2.90
16 Pd 0.5000 0.5000 0.2985  8 Pd 2.86, 4 Hg 2.90
17 Pd 0.5000 0.5000 0.5000  8 Pd 2.89, 4 Pb 2.90
18 Pd 0.5000 0.5000 0.7015  8 Pd 2.86, 4 Hg 2.90
19 Pd 0.5000 0.5000 0.9012  8 Pd 2.85-2.86, 4 Hg 2.90
20 Pb 0.0000 0.0000 0.5000  12 Pd 2.89-2.90



(9)
DFT (PBE) results for a relaxed structure of Hg2Pd3Pb2.

Output
The value obtained for the energy of formation from the pure elements is -0.158 eV/atom. Its space-group type is C2/m. The total energy is -3.53 eV per atom.

Cell: 4.8545 4.8545 8.5188 Å, 111.00 111.00 55.28°
Closest atoms and distances in Å follow each position.
Sites, in units of the cell vectors:
1 Hg 0.1377 0.1377 0.3757  7 Pd 2.86-2.93, 2 Hg 3.16
2 Hg 0.8623 0.8623 0.6243  7 Pd 2.86-2.93, 2 Hg 3.16
3 Pd 0.2248 0.2248 0.7431  4 Hg 2.86-2.91, 4 Pb 2.88-3.01, 2 Pd 3.14
4 Pd 0.5000 0.5000 0.5000  6 Hg 2.86-2.93, 2 Pb 2.95, 4 Pd 3.14
5 Pd 0.7752 0.7752 0.2569  4 Hg 2.86-2.91, 4 Pb 2.88-3.01, 2 Pd 3.14
6 Pb 0.3939 0.3939 0.1246  5 Pd 2.88-3.01, 2 Hg 3.23
7 Pb 0.6061 0.6061 0.8754  5 Pd 2.88-3.01, 2 Hg 3.23



(10)
DFT (PBE) results for a relaxed structure of HgPd2Pb2.

Output
The value obtained for the energy of formation from the pure elements is -0.061 eV/atom. Its space-group type is P4/mbm. The total energy is -3.68 eV per atom.

Cell: 8.3320 8.3320 3.2817 Å, 90.00 90.00 90.00°
Closest atoms and distances in Å follow each position.
Sites, in units of the cell vectors:
1 Hg 0.0000 0.0000 0.0000  4 Pb 3.12, 2 Hg 3.28
2 Hg 0.5000 0.5000 0.0000  4 Pb 3.12, 2 Hg 3.28
3 Pd 0.1272 0.3728 0.5000  6 Pb 2.94-2.96, 3 Pd 3.00-3.28
4 Pd 0.3728 0.8728 0.5000  6 Pb 2.94-2.96, 3 Pd 3.00-3.28
5 Pd 0.6272 0.1272 0.5000  6 Pb 2.94-2.96, 3 Pd 3.00-3.28
6 Pd 0.8728 0.6272 0.5000  6 Pb 2.94-2.96, 3 Pd 3.00-3.28
7 Pb 0.1635 0.6634 0.0000  6 Pd 2.94-2.96, 2 Hg 3.12, 2 Pb 3.28
8 Pb 0.3366 0.1635 0.0000  6 Pd 2.94-2.96, 2 Hg 3.12, 2 Pb 3.28
9 Pb 0.6634 0.8366 0.0000  6 Pd 2.94-2.96, 2 Hg 3.12, 2 Pb 3.28
10 Pb 0.8366 0.3366 0.0000  6 Pd 2.94-2.96, 2 Hg 3.12, 2 Pb 3.28



(11)
DFT (PBE) results for a relaxed structure of HgPdPb2.

Output
The value obtained for the energy of formation from the pure elements is 0.161 eV/atom. Its space-group type is R-3m. The total energy is -3.07 eV per atom.

Cell: 11.8250 11.8250 11.8250 Å, 15.81 15.81 15.81°
Closest atoms and distances in Å follow each position.
Sites, in units of the cell vectors:
1 Hg 0.0000 0.0000 0.0000  6 Hg 3.25, 6 Pb 3.64
2 Pd 0.5000 0.5000 0.5000  2 Pb 2.72
3 Pb 0.4224 0.4224 0.4224  1 Pd 2.72
4 Pb 0.5776 0.5776 0.5776  1 Pd 2.72



(12)
DFT (PBE) results for a relaxed structure of HgPd4Pb7.

Output
The value obtained for the energy of formation from the pure elements is -0.076 eV/atom. Its space-group type is C2/m. The total energy is -3.99 eV per atom.

Cell: 7.6052 7.6052 9.0635 Å, 121.66 121.66 43.85°
Closest atoms and distances in Å follow each position.
Sites, in units of the cell vectors:
1 Hg 0.0000 0.0000 0.0000  4 Pb 2.84-3.11
2 Pd 0.2981 0.2981 0.6586  4 Pb 2.78-2.89, 1 Pd 2.97
3 Pd 0.4797 0.4797 0.3062  5 Pb 2.81-3.00, 1 Pd 2.97
4 Pd 0.5203 0.5203 0.6938  5 Pb 2.81-3.00, 1 Pd 2.97
5 Pd 0.7019 0.7019 0.3414  4 Pb 2.78-2.89, 1 Pd 2.97
6 Pb 0.0615 0.0615 0.3882  3 Pd 2.81-3.00, 1 Hg 3.11
7 Pb 0.2222 0.2222 0.8949  1 Pd 2.89
8 Pb 0.2960 0.2960 0.3453  5 Pd 2.81-3.13
9 Pb 0.5000 0.5000 0.0000  4 Pd 2.78-2.95, 2 Hg 2.84
10 Pb 0.7040 0.7040 0.6547  5 Pd 2.81-3.13
11 Pb 0.7778 0.7778 0.1051  1 Pd 2.89
12 Pb 0.9385 0.9385 0.6118  3 Pd 2.81-3.00, 1 Hg 3.11



Which of these has the highest energy of formation from the pure elements? HgPdPb2